Material: Nd6Tl3H
Method: DFT, PBE-GGA
State: optimized geometry

Output
For the total energy, the calculation gives -4.13 eV/atom. Its density of states at the Fermi level is 1.105 states/eV per atom.

```
data_Nd6Tl3H
_chemical_formula_sum 'Nd12 Tl6 H2'
_space_group_name_H-M_alt 'P 1 21/c 1'
_space_group_IT_number 14
_space_group_name_Hall '-P 2ybc'
_cell_length_a 6.545
_cell_length_b 8.683
_cell_length_c 11.895
_cell_angle_alpha 90.00
_cell_angle_beta 118.97
_cell_angle_gamma 90.00
loop_
_atom_site_label
_atom_site_type_symbol
_atom_site_fract_x
_atom_site_fract_y
_atom_site_fract_z
Nd1 Nd 0.076 0.048 0.223
Nd2 Nd 0.156 0.707 0.057
Nd3 Nd 0.414 0.146 0.051
Tl1 Tl 0.332 0.118 0.735
Tl2 Tl 0.500 0.000 0.500
H1 H 0.000 0.000 0.000
```

---

Material: La3PmHo6
Method: DFT, PBE-GGA
State: optimized geometry

Output
The calculation puts the energy relative to the lowest polymorph listed for this composition at 0 meV/atom. Its density of states at the Fermi level is 1.529 states/eV per atom.

```
data_La3PmHo6
_chemical_formula_sum 'La12 Pm4 Ho24'
_space_group_name_H-M_alt 'C m c 21'
_space_group_IT_number 36
_space_group_name_Hall 'C 2c -2'
_cell_length_a 13.685
_cell_length_b 14.571
_cell_length_c 6.874
_cell_angle_alpha 90.00
_cell_angle_beta 90.00
_cell_angle_gamma 90.00
loop_
_atom_site_label
_atom_site_type_symbol
_atom_site_fract_x
_atom_site_fract_y
_atom_site_fract_z
La1 La 0.000 0.104 0.000
La2 La 0.204 0.463 0.280
Pm1 Pm 0.000 0.309 0.817
Ho1 Ho 0.000 0.287 0.312
Ho2 Ho 0.000 0.488 0.546
Ho3 Ho 0.116 0.103 0.496
Ho4 Ho 0.238 0.213 0.107
```

---

Material: CdGaN
Method: DFT, PBE-GGA
State: optimized geometry

Output
Its formation energy from raw total energies is 0.132 eV per atom. Its density of states at the Fermi level is 0.187 states/eV per atom.

```
data_CdGaN
_chemical_formula_sum 'Cd4 Ga4 N4'
_space_group_name_H-M_alt 'C 1 2/m 1'
_space_group_IT_number 12
_space_group_name_Hall '-C 2y'
_cell_length_a 19.449
_cell_length_b 3.193
_cell_length_c 3.599
_cell_angle_alpha 90.00
_cell_angle_beta 100.11
_cell_angle_gamma 90.00
loop_
_atom_site_label
_atom_site_type_symbol
_atom_site_fract_x
_atom_site_fract_y
_atom_site_fract_z
Cd1 Cd 0.188 0.000 0.484
Ga1 Ga 0.060 0.500 0.917
N1 N 0.111 0.000 0.893
```

---

Material: Ac7Ga2N2
Method: DFT, PBE-GGA
State: optimized geometry

Output
Its formation energy from raw total energies is -0.394 eV per atom. Its density of states at the Fermi level is 0.878 states/eV per atom.

```
data_Ac7Ga2N2
_chemical_formula_sum 'Ac14 Ga4 N4'
_space_group_name_H-M_alt 'C 1 2/m 1'
_space_group_IT_number 12
_space_group_name_Hall '-C 2y'
_cell_length_a 12.999
_cell_length_b 7.735
_cell_length_c 6.900
_cell_angle_alpha 90.00
_cell_angle_beta 90.03
_cell_angle_gamma 90.00
loop_
_atom_site_label
_atom_site_type_symbol
_atom_site_fract_x
_atom_site_fract_y
_atom_site_fract_z
Ac1 Ac 0.000 0.000 0.000
Ac2 Ac 0.068 0.500 0.767
Ac3 Ac 0.209 0.269 0.236
Ga1 Ga 0.000 0.162 0.500
N1 N 0.227 0.000 0.037
```

---

Material: Tb4Bi2TeP
Method: DFT, PBE-GGA
State: optimized geometry

Output
Its formation energy from raw total energies is -1.160 eV per atom. Its density of states at the Fermi level is 0.247 states/eV per atom.

```
data_Tb4Bi2TeP
_chemical_formula_sum 'Tb4 Bi2 Te1 P1'
_space_group_name_H-M_alt 'P 1 2/m 1'
_space_group_IT_number 10
_space_group_name_Hall '-P 2y'
_cell_length_a 7.539
_cell_length_b 4.321
_cell_length_c 7.541
_cell_angle_alpha 90.00
_cell_angle_beta 109.13
_cell_angle_gamma 90.00
loop_
_atom_site_label
_atom_site_type_symbol
_atom_site_fract_x
_atom_site_fract_y
_atom_site_fract_z
Tb1 Tb 0.227 0.000 0.227
Tb2 Tb 0.237 0.500 0.765
Bi1 Bi 0.500 0.000 0.000
Bi2 Bi 0.500 0.500 0.500
Te1 Te 0.000 0.000 0.500
P1 P 0.000 0.500 0.000
```

---

Material: As2OsPd2
Method: DFT, PBE-GGA
State: optimized geometry

Output
The calculation puts the energy relative to the lowest polymorph listed for this composition at 661 meV/atom. Its density of states at the Fermi level is 1.003 states/eV per atom.

```
data_As2OsPd2
_chemical_formula_sum 'As4 Os2 Pd4'
_space_group_name_H-M_alt 'I 4/m m m'
_space_group_IT_number 139
_space_group_name_Hall '-I 4 2'
_cell_length_a 3.705
_cell_length_b 3.705
_cell_length_c 12.497
_cell_angle_alpha 90.00
_cell_angle_beta 90.00
_cell_angle_gamma 90.00
loop_
_atom_site_label
_atom_site_type_symbol
_atom_site_fract_x
_atom_site_fract_y
_atom_site_fract_z
As1 As 0.000 0.500 0.250
Os1 Os 0.000 0.000 0.000
Pd1 Pd 0.000 0.000 0.396
```

---

Material: Dy8P3SeS4
Method: DFT, PBE-GGA
State: optimized geometry

Output
Its formation energy from raw total energies is -1.881 eV per atom. Its density of states at the Fermi level is 0.382 states/eV per atom.

```
data_Dy8P3SeS4
_chemical_formula_sum 'Dy24 P9 Se3 S12'
_space_group_name_H-M_alt 'R -3 m'
_space_group_IT_number 166
_space_group_name_Hall '-R 3 2"'
_cell_length_a 7.9521
_cell_length_b 7.9521
_cell_length_c 19.3735
_cell_angle_alpha 90.00
_cell_angle_beta 90.00
_cell_angle_gamma 120.00
loop_
_atom_site_label
_atom_site_type_symbol
_atom_site_fract_x
_atom_site_fract_y
_atom_site_fract_z
Dy1 Dy 0.0000 0.0000 0.2470
Dy2 Dy 0.0122 0.5061 0.7506
P1 P 0.0000 0.5000 0.5000
Se1 Se 0.0000 0.0000 0.5000
S1 S 0.0000 0.0000 0.0000
S2 S 0.0000 0.5000 0.0000
```

---

Material: LiThMg2Ga2
Method: DFT, PBE-GGA
State: optimized geometry

Output
For the total energy, the calculation gives -3.42 eV/atom. Its density of states at the Fermi level is 0.357 states/eV per atom.

```
data_LiThMg2Ga2
_chemical_formula_sum 'Li1 Th1 Mg2 Ga2'
_space_group_name_H-M_alt 'P -3 m 1'
_space_group_IT_number 164
_space_group_name_Hall '-P 3 2"'
_cell_length_a 4.5821
_cell_length_b 4.5821
_cell_length_c 7.0606
_cell_angle_alpha 90.00
_cell_angle_beta 90.00
_cell_angle_gamma 120.00
loop_
_atom_site_label
_atom_site_type_symbol
_atom_site_fract_x
_atom_site_fract_y
_atom_site_fract_z
Li1 Li 0.0000 0.0000 0.0000
Th1 Th 0.0000 0.0000 0.5000
Mg1 Mg 0.3333 0.6667 0.1628
Ga1 Ga 0.3333 0.6667 0.7384
```